# KMn2BiF8

A relaxed KMn2BiF8 crystal (PBE with a Hubbard U, Alexandria).

Output
Total energy in eV/atom: -5.505

a b c (Å): 5.3197 5.2975 7.1334
angles (deg): 89.97 89.97 89.17
With the nearest neighbours (Å) after each atom.
Fractional positions:
F1 0.3117 0.3069 0.0001  1 Bi 2.34, 2 Mn 2.35
F2 0.7833 0.2225 0.7790  1 Mn 2.11, 1 Bi 2.27
F3 0.3344 0.3290 0.5002  2 Mn 2.14
F4 0.7830 0.2222 0.2210  1 Mn 2.11, 1 Bi 2.27
F5 0.2170 0.7778 0.7790  1 Mn 2.11, 1 Bi 2.27
F6 0.2167 0.7775 0.2210  1 Mn 2.11, 1 Bi 2.27
F7 0.6883 0.6931 0.9999  1 Bi 2.34, 2 Mn 2.35
F8 0.6656 0.6710 0.4998  2 Mn 2.14
Mn1 0.5000 0.5000 0.2594  6 F 2.11-2.35
Mn2 0.5000 0.5000 0.7406  6 F 2.11-2.35
Bi1 0.0000 0.0000 0.0000  6 F 2.27-2.34
K1 0.0000 0.0000 0.5000  6 F 2.51-2.58